(1)
4
Lattice="-1.7220 4.5147 -2.2773 -3.6761 2.9973 2.4569 1.3642 4.7290 2.0788" Properties=species:S:1:pos:R:3 comment="PuTlIn2 (PBE, relaxed)" formation_enthalpy_0k_ev_per_atom=-0.01 rho_kg_m3=10443 total_magnetization_mub_per_cell=5.76 e_above_lowest_polymorph_ev_per_fu=0.552 crystal_system=cubic pbc="T T T"
Pu -2.0179 6.1198 1.1286
Tl -3.0248 9.1812 1.6942
In -5.3971 7.5126 0.1802
In -1.0092 3.0597 0.5641

(2)
4
Lattice="3.6497 0.0000 0.0000 0.0000 5.6700 0.0000 0.0000 0.0000 5.1790" Properties=species:S:1:pos:R:3 comment="ZnIn2Br (PBE, relaxed)" rho_kg_m3=5809 total_magnetization_mub_per_cell=0.00 e_above_lowest_polymorph_ev_per_fu=0.276 formation_energy_uncorrected_ev_per_atom=-0.08 crystal_system=orthorhombic pbc="T T T"
Br 0.0000 2.8350 2.5895
In 0.0000 0.0000 0.0000
In 1.8248 2.8350 0.0000
Zn 1.8248 0.0000 2.5895

(3)
6
Lattice="-5.9230 0.6272 4.7094 2.5718 -0.3797 3.2847 0.5045 4.1571 0.0814" Properties=species:S:1:pos:R:3 comment="AlAgPb (PBE, relaxed)" formation_enthalpy_0k_ev_per_atom=0.06 rho_kg_m3=8527 total_magnetization_mub_per_cell=0.00 crystal_system=tetragonal pbc="T T T"
Pb 1.9620 1.7254 3.0626
Pb -0.6966 4.1663 2.7527
Al -3.0979 2.3137 4.4220
Al -1.5592 4.2025 6.1047
Ag -4.1684 4.5328 5.5140
Ag -0.4894 1.9848 5.0119

(4)
12
Lattice="-1.2949 -5.4900 3.7706 4.7149 4.4373 2.0286 -6.4715 4.2622 1.9630" Properties=species:S:1:pos:R:3 comment="TmMn2Tl3Se6 (PBE, relaxed)" rho_kg_m3=7391 total_magnetization_mub_per_cell=8.07 formation_energy_uncorrected_ev_per_atom=-0.71 crystal_system=monoclinic pbc="T T T"
Tm 0.0000 0.0000 0.0000
Mn 2.7148 1.1334 2.6083
Mn 0.7052 -2.1862 3.1909
Tl 0.5277 4.9967 3.2859
Tl -3.5792 -1.7872 4.4763
Tl -1.5258 1.6048 3.8811
Se -3.7091 0.8650 6.2956
Se 1.2029 0.0513 4.4420
Se 0.6575 2.3445 1.4666
Se -1.5556 4.4222 5.6714
Se -4.2545 3.1582 3.3203
Se -1.4959 -1.2127 2.0909

(5)
4
Lattice="0.0000 3.0690 3.0690 3.0690 0.0000 3.0690 3.0690 3.0690 0.0000" Properties=species:S:1:pos:R:3 comment="Zn2CrW (PBE, relaxed)" formation_enthalpy_0k_ev_per_atom=0.48 rho_kg_m3=10532 total_magnetization_mub_per_cell=1.61 e_above_lowest_polymorph_ev_per_fu=1.194 crystal_system=cubic pbc="T T T"
Cr 0.0000 0.0000 0.0000
Zn 1.5345 1.5345 1.5345
Zn 4.6035 4.6035 4.6035
W 3.0690 3.0690 3.0690

(6)
4
Lattice="-2.9965 -1.4156 2.6244 -1.7137 -1.3208 -2.6691 2.1083 -3.6365 0.4457" Properties=species:S:1:pos:R:3 comment="CdSiRh2 (PBE, relaxed)" rho_kg_m3=9366 total_magnetization_mub_per_cell=0.00 formation_energy_uncorrected_ev_per_atom=-0.30 crystal_system=tetragonal pbc="T T T"
Cd -0.7852 -4.7621 -0.0606
Rh 1.5738 -3.3907 -0.0320
Rh -0.9789 -2.2804 1.0569
Si -0.1059 -2.0549 -1.2294

(7)
5
Lattice="5.9416 0.0000 0.0000 0.0000 5.0184 0.0000 0.0000 0.0000 5.9416" Properties=species:S:1:pos:R:3 comment="Na2CrSI (PBE, relaxed)" rho_kg_m3=2408 total_magnetization_mub_per_cell=5.08 formation_energy_uncorrected_ev_per_atom=0.37 crystal_system=tetragonal pbc="T T T"
I 0.0000 2.5092 0.0000
Cr 0.0000 0.0000 0.0000
S 2.9708 2.5092 2.9708
Na 0.0000 0.0000 2.9708
Na 2.9708 0.0000 0.0000

(8)
5
Lattice="4.7385 0.0000 0.0000 0.0000 4.7617 0.0000 0.0000 0.0000 4.7385" Properties=species:S:1:pos:R:3 comment="CaTcGeRu2 (PBE, relaxed)" formation_enthalpy_0k_ev_per_atom=0.66 rho_kg_m3=6412 total_magnetization_mub_per_cell=0.00 crystal_system=tetragonal pbc="T T T"
Ru 0.0000 0.0000 2.3693
Ru 2.3693 0.0000 0.0000
Ge 0.0000 2.3809 0.0000
Ca 2.3693 2.3809 2.3693
Tc 0.0000 0.0000 0.0000